BTe3Pb PBE relaxed; total energy = -0.1282 Ha/atom; relative energy among the computed polymorphs = 0.0000 eV per atom; uncorrected formation energy = 0.474 eV/atom
1.0
5.017 0.000 0.000
0.000 5.017 0.000
0.000 0.000 5.017
B Te Pb
1 3 1
Direct
0.000 0.000 0.000
0.000 0.000 0.500
0.000 0.500 0.000
0.500 0.000 0.000
0.500 0.500 0.500